[1]
The following is a PBE-GGA calculation of crystalline Ac2SmOs2N6 at its relaxed geometry, from the Alexandria database.

Output
formation energy without anion corrections: -0.530 eV per atom
SG: R-3m (166)

```
Ac2SmOs2N6
1.0
2.936 1.695 6.252
-2.936 1.695 6.252
0.000 -3.390 6.252
Ac Sm Os N
2 1 2 6
Cartesian
0.000 0.000 3.973 Ac
0.000 0.000 14.784 Ac
0.000 0.000 0.000 Sm
0.000 0.000 7.501 Os
0.000 0.000 11.256 Os
-1.493 -0.862 10.699 N
0.000 -1.724 8.058 N
-1.493 0.862 8.058 N
1.493 -0.862 10.699 N
0.000 1.724 10.699 N
1.493 0.862 8.058 N
```

***

[2]
The following is a PBE-GGA calculation of crystalline Ac2SmOsN4 at its relaxed geometry, from the Alexandria database.

Output
formation energy without anion corrections: -0.600 eV per atom
SG: Cmcm (63)

```
Ac2SmOsN4
1.0
1.784 -6.318 0.000
1.784 6.318 0.000
0.000 0.000 12.894
Ac Sm Os N
4 2 2 8
Cartesian
1.784 4.643 6.980 Ac
1.784 4.643 12.360 Ac
1.784 -4.643 0.534 Ac
1.784 -4.643 5.913 Ac
1.784 1.652 9.670 Sm
1.784 -1.652 3.223 Sm
1.784 1.966 3.223 Os
1.784 -1.966 9.670 Os
1.784 5.179 9.670 N
1.784 3.544 1.874 N
1.784 3.544 4.573 N
1.784 0.000 0.000 N
1.784 0.000 6.447 N
1.784 -3.544 8.321 N
1.784 -3.544 11.020 N
1.784 -5.179 3.223 N
```

***

[3]
The following is a PBE-GGA calculation of crystalline AcSm2OsN4 at its relaxed geometry, from the Alexandria database.

Output
formation energy without anion corrections: -0.838 eV per atom
SG: Cmcm (63)

```
AcSm2OsN4
1.0
1.780 -6.082 0.000
1.780 6.082 0.000
0.000 0.000 12.019
Ac Sm Os N
2 4 2 8
Cartesian
1.780 4.778 9.014 Ac
1.780 -4.778 3.005 Ac
1.780 1.603 6.512 Sm
1.780 1.603 11.516 Sm
1.780 -1.603 0.503 Sm
1.780 -1.603 5.506 Sm
1.780 4.194 3.005 Os
1.780 -4.194 9.014 Os
0.000 0.000 0.000 N
0.000 0.000 6.009 N
1.780 2.836 1.532 N
1.780 2.836 4.477 N
1.780 0.936 9.014 N
1.780 -0.936 3.005 N
1.780 -2.836 7.541 N
1.780 -2.836 10.487 N
```

***

[4]
The following is a PBE-GGA calculation of crystalline SrAc2Os2N6 at its relaxed geometry, from the Alexandria database.

Output
formation energy without anion corrections: -0.423 eV per atom
SG: R-3m (166)

```
SrAc2Os2N6
1.0
2.968 1.714 6.424
-2.968 1.714 6.424
0.000 -3.428 6.424
Sr Ac Os N
1 2 2 6
Cartesian
0.000 0.000 0.000 Sr
0.000 0.000 4.062 Ac
0.000 0.000 15.210 Ac
0.000 0.000 7.837 Os
0.000 0.000 11.435 Os
-1.492 -0.861 10.926 N
0.000 -1.723 8.346 N
-1.492 0.861 8.346 N
1.492 -0.861 10.926 N
0.000 1.723 10.926 N
1.492 0.861 8.346 N
```

***

[5]
The following is a PBE-GGA calculation of crystalline SrAcOs2N4 at its relaxed geometry, from the Alexandria database.

Output
formation energy without anion corrections: -0.216 eV per atom
SG: I222 (23)

```
SrAcOs2N4
1.0
-3.303 3.315 3.932
3.303 -3.315 3.932
3.303 3.315 -3.932
Sr Ac Os N
1 1 2 4
Cartesian
0.000 0.000 0.000 Sr
0.000 0.000 3.932 Ac
3.303 0.000 2.709 Os
0.000 3.315 1.223 Os
3.094 -1.579 1.930 N
3.513 1.579 1.930 N
0.210 1.736 2.003 N
-0.210 4.894 2.003 N
```

***

[6]
The following is a PBE-GGA calculation of crystalline SrAcOsN2 at its relaxed geometry, from the Alexandria database.

Output
formation energy without anion corrections: -0.369 eV per atom
SG: P2/c (13)

```
SrAcOsN2
1.0
5.149 0.000 0.000
0.000 6.016 0.000
0.000 0.000 7.751
Sr Ac Os N
2 2 2 4
Cartesian
0.000 6.013 1.938 Sr
0.000 0.003 5.813 Sr
2.574 3.006 1.938 Ac
2.574 3.010 5.813 Ac
2.574 0.000 0.000 Os
2.574 0.000 3.875 Os
1.627 1.579 7.748 N
1.627 4.437 3.873 N
3.521 1.579 3.877 N
3.521 4.437 0.002 N
```

***

[7]
The following is a PBE-GGA calculation of crystalline Sr2AcOs2N6 at its relaxed geometry, from the Alexandria database.

Output
formation energy without anion corrections: -0.390 eV per atom
SG: R-3m (166)

```
Sr2AcOs2N6
1.0
3.043 1.757 6.386
-3.043 1.757 6.386
0.000 -3.514 6.386
Sr Ac Os N
2 1 2 6
Cartesian
0.000 0.000 3.968 Sr
0.000 0.000 15.190 Sr
0.000 0.000 0.000 Ac
0.000 0.000 7.841 Os
0.000 0.000 11.317 Os
-1.508 -0.870 10.941 N
0.000 -1.741 8.217 N
-1.508 0.870 8.217 N
1.508 -0.870 10.941 N
0.000 1.741 10.941 N
1.508 0.870 8.217 N
```

***

[8]
The following is a PBE-GGA calculation of crystalline Ac2TcOsN6 at its relaxed geometry, from the Alexandria database.

Output
formation energy without anion corrections: -0.450 eV per atom
SG: P4/mnc (128)

```
Ac2TcOsN6
1.0
5.675 0.000 0.000
0.000 5.675 0.000
0.000 0.000 7.974
Ac Tc Os N
4 2 2 12
Cartesian
0.000 2.837 1.993 Ac
0.000 2.837 5.980 Ac
2.837 0.000 1.993 Ac
2.837 0.000 5.980 Ac
0.000 0.000 0.000 Tc
2.837 2.837 3.987 Tc
0.000 0.000 3.987 Os
2.837 2.837 0.000 Os
0.000 0.000 2.001 N
0.000 0.000 5.973 N
1.403 1.424 3.987 N
1.414 1.434 0.000 N
1.424 4.272 3.987 N
1.434 4.261 0.000 N
2.837 2.837 1.986 N
2.837 2.837 5.988 N
4.241 1.414 0.000 N
4.251 1.403 3.987 N
4.261 4.241 0.000 N
4.272 4.251 3.987 N
```

***

[9]
The following is a PBE-GGA calculation of crystalline Ac2ThOs2N6 at its relaxed geometry, from the Alexandria database.

Output
formation energy without anion corrections: -0.588 eV per atom
SG: R-3m (166)

```
Ac2ThOs2N6
1.0
2.937 1.696 6.276
-2.937 1.696 6.276
0.000 -3.391 6.276
Ac Th Os N
2 1 2 6
Cartesian
0.000 0.000 3.996 Ac
0.000 0.000 14.831 Ac
0.000 0.000 0.000 Th
0.000 0.000 7.510 Os
0.000 0.000 11.317 Os
-1.505 -0.869 10.755 N
0.000 -1.738 8.072 N
-1.505 0.869 8.072 N
1.505 -0.869 10.755 N
0.000 1.738 10.755 N
1.505 0.869 8.072 N
```

***

[10]
The following is a PBE-GGA calculation of crystalline Ac2UOsN6 at its relaxed geometry, from the Alexandria database.

Output
formation energy without anion corrections: -0.799 eV per atom
SG: P4/mmm (123)

```
Ac2UOsN6
1.0
4.091 0.000 0.000
0.000 4.091 0.000
0.000 0.000 8.592
Ac U Os N
2 1 1 6
Cartesian
0.000 0.000 2.001 Ac
0.000 0.000 6.591 Ac
2.046 2.046 4.296 U
2.046 2.046 0.000 Os
0.000 2.046 0.000 N
0.000 2.046 4.296 N
2.046 0.000 0.000 N
2.046 0.000 4.296 N
2.046 2.046 2.081 N
2.046 2.046 6.511 N
```

***

[11]
The following is a PBE-GGA calculation of crystalline Ac2UOs2N6 at its relaxed geometry, from the Alexandria database.

Output
formation energy without anion corrections: -0.588 eV per atom
SG: R-3m (166)

```
Ac2UOs2N6
1.0
2.892 1.670 6.086
-2.892 1.670 6.086
0.000 -3.339 6.086
Ac U Os N
2 1 2 6
Cartesian
0.000 0.000 3.886 Ac
0.000 0.000 14.371 Ac
0.000 0.000 0.000 U
0.000 0.000 7.149 Os
0.000 0.000 11.107 Os
-1.523 -0.879 10.535 N
0.000 -1.759 7.722 N
-1.523 0.879 7.722 N
1.523 -0.879 10.535 N
0.000 1.759 10.535 N
1.523 0.879 7.722 N
```

***

[12]
The following is a PBE-GGA calculation of crystalline Ac2YOs2N6 at its relaxed geometry, from the Alexandria database.

Output
formation energy without anion corrections: -0.547 eV per atom
SG: R-3m (166)

```
Ac2YOs2N6
1.0
2.931 1.692 6.164
-2.931 1.692 6.164
0.000 -3.384 6.164
Ac Y Os N
2 1 2 6
Cartesian
0.000 0.000 3.922 Ac
0.000 0.000 14.571 Ac
0.000 0.000 0.000 Y
0.000 0.000 7.365 Os
0.000 0.000 11.128 Os
-1.499 -0.865 10.585 N
0.000 -1.731 7.908 N
-1.499 0.865 7.908 N
1.499 -0.865 10.585 N
0.000 1.731 10.585 N
1.499 0.865 7.908 N
```

***

[13]
The following is a PBE-GGA calculation of crystalline Ac2ZnOsN4 at its relaxed geometry, from the Alexandria database.

Output
formation energy without anion corrections: -0.065 eV per atom
SG: Fddd (70)

```
Ac2ZnOsN4
1.0
0.000 5.904 9.400
2.411 0.000 9.400
2.411 5.904 0.000
Ac Zn Os N
4 2 2 8
Cartesian
1.809 4.428 0.955 Ac
3.014 7.380 5.655 Ac
1.809 4.428 13.145 Ac
3.014 7.380 17.845 Ac
0.603 1.476 2.350 Zn
4.220 10.331 16.450 Zn
1.809 4.428 7.050 Os
3.014 7.380 11.750 Os
1.862 2.901 3.123 N
2.960 5.853 7.823 N
1.755 5.954 3.123 N
1.755 2.901 10.976 N
3.068 8.906 7.823 N
3.068 5.853 15.676 N
1.862 5.954 10.976 N
2.960 8.906 15.676 N
```

***

[14]
The following is a PBE-GGA calculation of crystalline Ac2ZrOs2N6 at its relaxed geometry, from the Alexandria database.

Output
formation energy without anion corrections: -0.494 eV per atom
SG: R-3m (166)

```
Ac2ZrOs2N6
1.0
2.886 1.666 6.063
-2.886 1.666 6.063
0.000 -3.332 6.063
Ac Zr Os N
2 1 2 6
Cartesian
0.000 0.000 3.866 Ac
0.000 0.000 14.322 Ac
0.000 0.000 0.000 Zr
0.000 0.000 7.145 Os
0.000 0.000 11.043 Os
-1.508 -0.871 10.480 N
0.000 -1.741 7.708 N
-1.508 0.871 7.708 N
1.508 -0.871 10.480 N
0.000 1.741 10.480 N
1.508 0.871 7.708 N
```

***

[15]
The following is a PBE-GGA calculation of crystalline Ac2PN2 at its relaxed geometry, from the Alexandria database.

Output
formation energy without anion corrections: -0.957 eV per atom
SG: C2/m (12)

```
Ac2PN2
1.0
3.671 -2.147 0.000
3.671 2.147 0.000
-1.691 0.000 7.181
Ac P N
2 1 2
Cartesian
1.191 0.000 1.864 Ac
4.459 0.000 5.317 Ac
3.671 0.000 0.000 P
-0.424 0.000 4.120 N
6.074 0.000 3.061 N
```

***

[16]
The following is a PBE-GGA calculation of crystalline Ac4P2N at its relaxed geometry, from the Alexandria database.

Output
formation energy without anion corrections: -0.860 eV per atom
SG: I4/mmm (139)

```
Ac4P2N
1.0
-2.522 2.522 8.047
2.522 -2.522 8.047
2.522 2.522 -8.047
Ac P N
4 2 1
Cartesian
2.522 0.000 0.000 Ac
0.000 0.000 2.824 Ac
0.000 2.522 0.000 Ac
0.000 0.000 13.271 Ac
0.000 0.000 5.922 P
0.000 0.000 10.172 P
0.000 0.000 0.000 N
```

***

[17]
The following is a PBE-GGA calculation of crystalline Ac4PN7 at its relaxed geometry, from the Alexandria database.

Output
formation energy without anion corrections: -0.857 eV per atom
SG: P1 (1)

```
Ac4PN7
1.0
4.148 0.000 0.000
0.541 7.100 0.000
0.645 2.267 8.138
Ac P N
4 1 7
Cartesian
0.000 0.000 0.000 Ac
0.738 5.363 5.633 Ac
2.091 3.565 1.006 Ac
2.859 2.147 4.641 Ac
3.057 5.975 2.934 P
0.743 2.892 5.739 N
2.622 6.884 6.676 N
2.574 6.178 1.427 N
2.687 4.583 3.663 N
3.553 7.701 6.859 N
4.011 6.991 3.663 N
4.115 2.475 0.259 N
```

***

[18]
The following is a PBE-GGA calculation of crystalline Ac3P2N at its relaxed geometry, from the Alexandria database.

Output
formation energy without anion corrections: -1.250 eV per atom
SG: C2/c (15)

```
Ac3P2N
1.0
6.746 -3.133 0.000
6.746 3.133 0.000
-2.640 0.000 7.996
Ac P N
6 4 2
Cartesian
4.766 2.855 5.997 Ac
3.604 0.006 3.399 Ac
2.284 -0.006 7.396 Ac
8.569 0.006 0.599 Ac
7.249 -0.006 4.597 Ac
6.086 -2.855 1.999 Ac
2.104 0.030 0.686 P
0.784 -0.030 4.684 P
10.069 0.030 3.311 P
8.749 -0.030 7.309 P
4.766 0.390 5.997 N
6.086 -0.390 1.999 N
```

***

[19]
The following is a PBE-GGA calculation of crystalline AcP2N4 at its relaxed geometry, from the Alexandria database.

Output
formation energy without anion corrections: -0.639 eV per atom
SG: P1 (1)

```
AcP2N4
1.0
4.710 0.000 0.000
0.747 4.936 0.000
1.484 2.110 9.290
Ac P N
2 4 8
Cartesian
0.000 0.000 0.000 Ac
1.928 4.458 5.503 Ac
2.468 2.387 2.868 P
3.607 2.227 7.145 P
4.126 4.885 7.612 P
4.798 2.419 2.926 P
1.266 3.171 1.986 N
1.286 1.696 3.882 N
2.565 4.770 7.901 N
3.614 3.293 3.714 N
4.671 6.159 8.592 N
4.549 5.753 6.188 N
3.655 1.516 2.068 N
4.841 3.384 7.275 N
```

***

[20]
The following is a PBE-GGA calculation of crystalline AcP4N7 at its relaxed geometry, from the Alexandria database.

Output
formation energy without anion corrections: -0.449 eV per atom
SG: Pmn2_1 (31)

```
AcP4N7
1.0
11.314 0.000 0.000
0.000 5.531 0.000
0.000 0.000 4.746
Ac P N
2 8 14
Cartesian
0.000 0.909 0.000 Ac
5.657 4.622 2.373 Ac
1.405 3.779 2.474 P
2.656 1.204 2.463 P
3.001 4.327 0.090 P
4.252 1.753 0.100 P
7.062 1.753 0.100 P
8.313 4.327 0.090 P
8.658 1.204 2.463 P
9.909 3.779 2.474 P
0.000 4.489 1.981 N
1.343 2.147 2.125 N
1.563 4.084 4.069 N
2.744 4.340 1.697 N
2.913 1.191 4.070 N
4.094 1.447 1.696 N
4.314 3.384 4.498 N
5.657 1.042 4.354 N
7.000 3.384 4.498 N
7.220 1.447 1.696 N
8.401 1.191 4.070 N
8.570 4.340 1.697 N
9.751 4.084 4.069 N
9.971 2.147 2.125 N
```